Entry from the Alexandria database: a geometry-optimized Ac2BiHPd6 structure (PBE-GGA).

a = 5.9840 Å, b = 5.9840 Å, c = 19.6864 Å
α = 90.00°, β = 90.00°, γ = 120.00°
Space group R-3m (No. 166, hexagonal axes)
Asymmetric unit:
1 Ac 0.0000 0.0000 0.2382
2 Bi 0.0000 0.0000 0.5000
3 H 0.0000 0.0000 0.0000
4 Pd 0.0062 0.5031 0.7236

VASP energy = -5.27 eV per atom
Crystal system = trigonal